DFT (PBEsol) results for an optimized crystal structure of BaNa3P2O8.

Cell lengths 5.5316, 5.5316, 7.0927 Å; angles 90.00, 90.00, 120.00 degrees
Closest atoms and distances in Å follow each position.
Element x y z (fractional)
Ba  0.0000  0.0000  0.0000  6 O 2.74
Na  0.0000  0.0000  0.5000  6 O 2.26
Na  0.3333  0.6667  0.6730  1 O 2.33
Na  0.6667  0.3333  0.3270  1 O 2.33
P  0.3333  0.6667  0.2199  4 O 1.54-1.55
P  0.6667  0.3333  0.7801  4 O 1.54-1.55
O  0.1823  0.3647  0.2970  1 P 1.55
O  0.1823  0.8177  0.2970  1 P 1.55
O  0.3333  0.6667  0.0021  1 P 1.54
O  0.3647  0.1823  0.7030  1 P 1.55
O  0.6353  0.8177  0.2970  1 P 1.55
O  0.6667  0.3333  0.9979  1 P 1.54
O  0.8177  0.1823  0.7030  1 P 1.55
O  0.8177  0.6353  0.7030  1 P 1.55

## Properties
Space-group type: P-3m1 (164)
DOS(E_F) (states/eV/cell): 11.32
Total DFT energy (no corrections) (eV for the cell shown): -92.06

DFT (PBEsol) results for an optimized crystal structure of Ba2NaPdO.

Cell lengths 5.8992, 5.8992, 3.9309 Å; angles 90.00, 90.00, 90.00 degrees
Closest atoms and distances in Å follow each position.
Element x y z (fractional)
Ba  0.0000  0.5000  0.0000  2 Na 2.95
Ba  0.5000  0.0000  0.0000  2 Na 2.95
Na  0.0000  0.0000  0.0000  2 O 1.97
Pd  0.5000  0.5000  0.5000  8 Ba 3.54, 2 Pd 3.93
O  0.0000  0.0000  0.5000  2 Na 1.97

## Properties
Space-group type: P4/mmm (123)
DOS(E_F) (states/eV/cell): 3.68
Total DFT energy (no corrections) (eV for the cell shown): -18.22

DFT (PBEsol) results for an optimized crystal structure of Ba3NaRu2O9.

Cell lengths 14.3238, 5.8498, 10.1200 Å; angles 90.00, 90.00, 90.00 degrees
Closest atoms and distances in Å follow each position.
Element x y z (fractional)
Ba  0.0859  0.0000  0.1629  12 O 2.88-3.03
Ba  0.0938  0.5000  0.6726  12 O 2.83-3.09
Ba  0.2500  0.0000  0.5002  12 O 2.91-2.93
Ba  0.2500  0.5000  0.0034  12 O 2.90-2.94
Ba  0.4062  0.5000  0.6726  12 O 2.83-3.09
Ba  0.4141  0.0000  0.1629  12 O 2.88-3.03
Ba  0.5859  0.0000  0.8371  12 O 2.88-3.03
Ba  0.5938  0.5000  0.3274  12 O 2.83-3.09
Ba  0.7500  0.0000  0.4998  12 O 2.91-2.93
Ba  0.7500  0.5000  0.9966  12 O 2.90-2.94
Ba  0.9062  0.5000  0.3274  12 O 2.83-3.09
Ba  0.9141  0.0000  0.8371  12 O 2.88-3.03
Na  0.0000  0.0000  0.5000  6 O 2.20-2.26
Na  0.0000  0.5000  0.0000  6 O 2.21-2.24
Na  0.5000  0.0000  0.5000  6 O 2.20-2.26
Na  0.5000  0.5000  0.0000  6 O 2.21-2.24
Ru  0.1543  0.5000  0.3350  6 O 1.83-2.04
Ru  0.1635  0.0000  0.8346  6 O 1.86-2.03
Ru  0.3365  0.0000  0.8346  6 O 1.86-2.03
Ru  0.3457  0.5000  0.3350  6 O 1.83-2.04
Ru  0.6543  0.5000  0.6650  6 O 1.83-2.04
Ru  0.6635  0.0000  0.1654  6 O 1.86-2.03
Ru  0.8365  0.0000  0.1654  6 O 1.86-2.03
Ru  0.8457  0.5000  0.6650  6 O 1.83-2.04
O  0.0878  0.5000  0.1792  1 Ru 1.84
O  0.0900  0.2646  0.4122  1 Ru 1.83
O  0.0900  0.7354  0.4122  1 Ru 1.83
O  0.0919  0.0000  0.6809  1 Ru 1.86
O  0.0920  0.2307  0.9121  1 Ru 1.87
O  0.0920  0.7693  0.9121  1 Ru 1.87
O  0.2500  0.0000  0.9939  2 Ru 2.03
O  0.2500  0.2388  0.7548  2 Ru 2.03
O  0.2500  0.2791  0.2600  2 Ru 2.03
O  0.2500  0.5000  0.4838  2 Ru 2.04
O  0.2500  0.7209  0.2600  2 Ru 2.03
O  0.2500  0.7612  0.7548  2 Ru 2.03
O  0.4081  0.0000  0.6809  1 Ru 1.86
O  0.4080  0.2307  0.9121  1 Ru 1.87
O  0.4080  0.7693  0.9121  1 Ru 1.87
O  0.4100  0.2646  0.4122  1 Ru 1.83
O  0.4100  0.7354  0.4122  1 Ru 1.83
O  0.4122  0.5000  0.1792  1 Ru 1.84
O  0.5878  0.5000  0.8208  1 Ru 1.84
O  0.5900  0.2646  0.5878  1 Ru 1.83
O  0.5900  0.7354  0.5878  1 Ru 1.83
O  0.5919  0.0000  0.3191  1 Ru 1.86
O  0.5920  0.2307  0.0879  1 Ru 1.87
O  0.5920  0.7693  0.0879  1 Ru 1.87
O  0.7500  0.0000  0.0061  2 Ru 2.03
O  0.7500  0.2388  0.2452  2 Ru 2.03
O  0.7500  0.2791  0.7400  2 Ru 2.03
O  0.7500  0.5000  0.5162  2 Ru 2.04
O  0.7500  0.7209  0.7400  2 Ru 2.03
O  0.7500  0.7612  0.2452  2 Ru 2.03
O  0.9081  0.0000  0.3191  1 Ru 1.86
O  0.9080  0.2307  0.0879  1 Ru 1.87
O  0.9080  0.7693  0.0879  1 Ru 1.87
O  0.9100  0.2646  0.5878  1 Ru 1.83
O  0.9100  0.7354  0.5878  1 Ru 1.83
O  0.9122  0.5000  0.8208  1 Ru 1.84

## Properties
Energy above the lowest structure with this stoichiometry (eV per atom): 0.0000
Space-group type: Pmma (51)
DOS(E_F) (states/eV/cell): 23.49

DFT (PBEsol) results for an optimized crystal structure of Ba4NaRu3O12.

Cell lengths 5.7671, 5.7671, 19.0345 Å; angles 90.00, 90.00, 120.00 degrees
Closest atoms and distances in Å follow each position.
Element x y z (fractional)
Ba  0.0000  0.0000  0.0000  12 O 2.90-2.95
Ba  0.0000  0.0000  0.5000  12 O 2.90-2.95
Ba  0.3333  0.6667  0.1178  12 O 2.89-3.12
Ba  0.3333  0.6667  0.3715  12 O 2.86-2.89
Ba  0.3333  0.6667  0.7435  12 O 2.82-2.96
Ba  0.6667  0.3333  0.2435  12 O 2.82-2.96
Ba  0.6667  0.3333  0.6178  12 O 2.89-3.12
Ba  0.6667  0.3333  0.8715  12 O 2.86-2.89
Na  0.3333  0.6667  0.5572  6 O 2.23-2.24
Na  0.6667  0.3333  0.0572  6 O 2.23-2.24
Ru  0.0000  0.0000  0.1828  6 O 1.87-2.03
Ru  0.0000  0.0000  0.3167  6 O 1.96-1.97
Ru  0.0000  0.0000  0.6828  6 O 1.87-2.03
Ru  0.0000  0.0000  0.8167  6 O 1.96-1.97
Ru  0.3333  0.6667  0.9320  6 O 1.87-2.03
Ru  0.6667  0.3333  0.4320  6 O 1.87-2.03
O  0.0267  0.5134  0.9880  1 Ru 1.87
O  0.1547  0.3093  0.2523  2 Ru 1.97-2.03
O  0.1547  0.8453  0.2523  2 Ru 1.97-2.03
O  0.1558  0.3115  0.6286  1 Ru 1.87
O  0.1558  0.8442  0.6286  1 Ru 1.87
O  0.1659  0.3317  0.8717  2 Ru 1.96-2.03
O  0.1659  0.8341  0.8717  2 Ru 1.96-2.03
O  0.3093  0.1547  0.7523  2 Ru 1.97-2.03
O  0.3115  0.1558  0.1286  1 Ru 1.87
O  0.3317  0.1659  0.3717  2 Ru 1.96-2.03
O  0.4866  0.5134  0.9880  1 Ru 1.87
O  0.4866  0.9733  0.9880  1 Ru 1.87
O  0.5134  0.0267  0.4880  1 Ru 1.87
O  0.5134  0.4866  0.4880  1 Ru 1.87
O  0.6683  0.8341  0.8717  2 Ru 1.96-2.03
O  0.6885  0.8442  0.6286  1 Ru 1.87
O  0.6907  0.8453  0.2523  2 Ru 1.97-2.03
O  0.8341  0.1659  0.3717  2 Ru 1.96-2.03
O  0.8341  0.6683  0.3717  2 Ru 1.96-2.03
O  0.8442  0.1558  0.1286  1 Ru 1.87
O  0.8442  0.6885  0.1286  1 Ru 1.87
O  0.8453  0.1547  0.7523  2 Ru 1.97-2.03
O  0.8453  0.6907  0.7523  2 Ru 1.97-2.03
O  0.9733  0.4866  0.4880  1 Ru 1.87

## Properties
Space-group type: P6_3mc (186)
DOS(E_F) (states/eV/cell): 0.65
Total DFT energy (no corrections) (eV for the cell shown): -283.22

DFT (PBEsol) results for an optimized crystal structure of Ba3NaRu2O9.

Cell lengths 5.8409, 5.8409, 14.4626 Å; angles 90.00, 90.00, 120.00 degrees
Closest atoms and distances in Å follow each position.
Element x y z (fractional)
Ba  0.0000  0.0000  0.2500  12 O 2.93
Ba  0.0000  0.0000  0.7500  12 O 2.93
Ba  0.3333  0.6667  0.0914  12 O 2.92-3.06
Ba  0.3333  0.6667  0.4086  12 O 2.92-3.06
Ba  0.6667  0.3333  0.5914  12 O 2.92-3.06
Ba  0.6667  0.3333  0.9086  12 O 2.92-3.06
Na  0.0000  0.0000  0.0000  6 O 2.21
Na  0.0000  0.0000  0.5000  6 O 2.21
Ru  0.3333  0.6667  0.6556  6 O 1.84-2.04
Ru  0.3333  0.6667  0.8444  6 O 1.84-2.04
Ru  0.6667  0.3333  0.1556  6 O 1.84-2.04
Ru  0.6667  0.3333  0.3444  6 O 1.84-2.04
O  0.0330  0.5165  0.7500  2 Ru 2.04
O  0.1770  0.3540  0.5901  1 Ru 1.84
O  0.1770  0.3540  0.9099  1 Ru 1.84
O  0.1770  0.8230  0.5901  1 Ru 1.84
O  0.1770  0.8230  0.9099  1 Ru 1.84
O  0.3540  0.1770  0.0901  1 Ru 1.84
O  0.3540  0.1770  0.4099  1 Ru 1.84
O  0.4835  0.5165  0.7500  2 Ru 2.04
O  0.4835  0.9670  0.7500  2 Ru 2.04
O  0.5165  0.0330  0.2500  2 Ru 2.04
O  0.5165  0.4835  0.2500  2 Ru 2.04
O  0.6460  0.8230  0.5901  1 Ru 1.84
O  0.6460  0.8230  0.9099  1 Ru 1.84
O  0.8230  0.1770  0.0901  1 Ru 1.84
O  0.8230  0.1770  0.4099  1 Ru 1.84
O  0.8230  0.6460  0.0901  1 Ru 1.84
O  0.8230  0.6460  0.4099  1 Ru 1.84
O  0.9670  0.4835  0.2500  2 Ru 2.04

## Properties
Energy above the lowest structure with this stoichiometry (eV per atom): 0.0064
Space-group type: P6_3/mmc (194)
DOS(E_F) (states/eV/cell): 13.80

DFT (PBEsol) results for an optimized crystal structure of Ba3NaRuO6.

Cell lengths 7.0440, 7.0440, 7.0440 Å; angles 91.46, 91.46, 91.46 degrees
Closest atoms and distances in Å follow each position.
Element x y z (fractional)
Ba  0.1068  0.7500  0.3932  8 O 2.70-2.87
Ba  0.2500  0.6068  0.8932  8 O 2.70-2.87
Ba  0.3932  0.1068  0.7500  8 O 2.70-2.87
Ba  0.6068  0.8932  0.2500  8 O 2.70-2.87
Ba  0.7500  0.3932  0.1068  8 O 2.70-2.87
Ba  0.8932  0.2500  0.6068  8 O 2.70-2.87
Na  0.2500  0.2500  0.2500  6 O 2.41
Na  0.7500  0.7500  0.7500  6 O 2.41
Ru  0.0000  0.0000  0.0000  6 O 1.98
Ru  0.5000  0.5000  0.5000  6 O 1.98
O  0.0518  0.9185  0.7352  1 Ru 1.98
O  0.0815  0.2648  0.9482  1 Ru 1.98
O  0.2352  0.4185  0.5518  1 Ru 1.98
O  0.2648  0.9482  0.0815  1 Ru 1.98
O  0.4185  0.5518  0.2352  1 Ru 1.98
O  0.4482  0.7648  0.5815  1 Ru 1.98
O  0.5518  0.2352  0.4185  1 Ru 1.98
O  0.5815  0.4482  0.7648  1 Ru 1.98
O  0.7352  0.0518  0.9185  1 Ru 1.98
O  0.7648  0.5815  0.4482  1 Ru 1.98
O  0.9185  0.7352  0.0518  1 Ru 1.98
O  0.9482  0.0815  0.2648  1 Ru 1.98

## Properties
Space-group type: R-3c (167)
Total DFT energy (no corrections) (eV for the cell shown): -145.49

DFT (PBEsol) results for an optimized crystal structure of Ba2NaSr2Sb3O12.

Cell lengths 8.1708, 8.1708, 8.3023 Å; angles 90.00, 90.00, 90.00 degrees
Closest atoms and distances in Å follow each position.
Element x y z (fractional)
Ba  0.2483  0.2517  0.2500  8 O 2.75-2.91
Ba  0.2517  0.7517  0.7500  8 O 2.75-2.91
Ba  0.7483  0.2483  0.7500  8 O 2.75-2.91
Ba  0.7517  0.7483  0.2500  8 O 2.75-2.91
Na  0.0000  0.0000  0.0000  6 O 2.23-2.24
Na  0.5000  0.5000  0.5000  6 O 2.23-2.24
Sr  0.2467  0.2533  0.7500  8 O 2.63-2.93
Sr  0.2533  0.7533  0.2500  8 O 2.63-2.93
Sr  0.7467  0.2467  0.2500  8 O 2.63-2.93
Sr  0.7533  0.7467  0.7500  8 O 2.63-2.93
Sb  0.0000  0.0000  0.5000  6 O 1.91-2.07
Sb  0.0000  0.5000  0.9996  6 O 1.90-2.08
Sb  0.0000  0.5000  0.5004  6 O 1.90-2.08
Sb  0.5000  0.0000  0.0004  6 O 1.90-2.08
Sb  0.5000  0.0000  0.4996  6 O 1.90-2.08
Sb  0.5000  0.5000  0.0000  6 O 1.91-2.07
O  0.0000  0.0000  0.2703  1 Sb 1.91
O  0.0000  0.0000  0.7297  1 Sb 1.91
O  0.0000  0.5000  0.2500  2 Sb 2.08
O  0.0000  0.5000  0.7500  2 Sb 2.07
O  0.0379  0.2705  0.9904  1 Sb 1.90
O  0.0426  0.7500  0.4899  2 Sb 2.07
O  0.2295  0.4621  0.5095  1 Sb 1.90
O  0.2500  0.0426  0.5101  2 Sb 2.07
O  0.2500  0.5426  0.0101  2 Sb 2.07
O  0.2705  0.9621  0.0096  1 Sb 1.90
O  0.4574  0.2500  0.9899  2 Sb 2.07
O  0.4621  0.7705  0.4904  1 Sb 1.90
O  0.5000  0.0000  0.2500  2 Sb 2.07
O  0.5000  0.0000  0.7500  2 Sb 2.08
O  0.5000  0.5000  0.2297  1 Sb 1.91
O  0.5000  0.5000  0.7703  1 Sb 1.91
O  0.5379  0.2295  0.4904  1 Sb 1.90
O  0.5426  0.7500  0.9899  2 Sb 2.07
O  0.7295  0.0379  0.0096  1 Sb 1.90
O  0.7500  0.4574  0.0101  2 Sb 2.07
O  0.7500  0.9574  0.5101  2 Sb 2.07
O  0.7705  0.5379  0.5095  1 Sb 1.90
O  0.9574  0.2500  0.4899  2 Sb 2.07
O  0.9621  0.7295  0.9904  1 Sb 1.90

## Properties
Space-group type: P-4n2 (118)
DOS(E_F) (states/eV/cell): 0.00
Total DFT energy (no corrections) (eV for the cell shown): -258.87

DFT (PBEsol) results for an optimized crystal structure of Ba2NaSr2Sb3O12.

Cell lengths 8.2377, 8.2377, 8.1728 Å; angles 90.00, 90.00, 89.64 degrees
Closest atoms and distances in Å follow each position.
Element x y z (fractional)
Ba  0.2501  0.7499  0.2532  7 O 2.68-2.95
Ba  0.2499  0.7501  0.7532  7 O 2.68-2.95
Ba  0.7501  0.2499  0.2468  7 O 2.68-2.95
Ba  0.7499  0.2501  0.7468  7 O 2.68-2.95
Na  0.0000  0.0000  0.0000  6 O 2.21-2.24
Na  0.5000  0.5000  0.5000  6 O 2.21-2.24
Sr  0.2461  0.2539  0.2500  5 O 2.57-2.70
Sr  0.2539  0.2461  0.7500  5 O 2.57-2.70
Sr  0.7461  0.7539  0.2500  5 O 2.57-2.70
Sr  0.7539  0.7461  0.7500  5 O 2.57-2.70
Sb  0.0000  0.0000  0.5000  6 O 1.90-2.07
Sb  0.0000  0.5000  0.0000  6 O 1.90-2.08
Sb  0.0000  0.5000  0.5000  6 O 1.90-2.08
Sb  0.5000  0.0000  0.0000  6 O 1.90-2.08
Sb  0.5000  0.0000  0.5000  6 O 1.90-2.08
Sb  0.5000  0.5000  0.0000  6 O 1.90-2.07
O  0.0031  0.2503  0.4721  2 Sb 2.07
O  0.0058  0.2706  0.0290  1 Sb 1.90
O  0.0195  0.9805  0.2695  1 Sb 1.90
O  0.0328  0.4672  0.7500  2 Sb 2.08
O  0.2294  0.4942  0.4710  1 Sb 1.90
O  0.2503  0.0031  0.5279  2 Sb 2.07
O  0.2497  0.4969  0.0279  2 Sb 2.07
O  0.2706  0.0058  0.9710  1 Sb 1.90
O  0.4672  0.0328  0.2500  2 Sb 2.08
O  0.4805  0.5195  0.7695  1 Sb 1.90
O  0.4942  0.2294  0.5290  1 Sb 1.90
O  0.4969  0.2497  0.9721  2 Sb 2.07
O  0.5031  0.7503  0.0279  2 Sb 2.07
O  0.5058  0.7706  0.4710  1 Sb 1.90
O  0.5195  0.4805  0.2305  1 Sb 1.90
O  0.5328  0.9672  0.7500  2 Sb 2.08
O  0.7294  0.9942  0.0290  1 Sb 1.90
O  0.7503  0.5031  0.9721  2 Sb 2.07
O  0.7497  0.9969  0.4721  2 Sb 2.07
O  0.7706  0.5058  0.5290  1 Sb 1.90
O  0.9672  0.5328  0.2500  2 Sb 2.08
O  0.9805  0.0195  0.7305  1 Sb 1.90
O  0.9942  0.7294  0.9710  1 Sb 1.90
O  0.9969  0.7497  0.5279  2 Sb 2.07

## Properties
Space-group type: Cmce (64)
DOS(E_F) (states/eV/cell): 0.00
Total DFT energy (no corrections) (eV for the cell shown): -258.91